[1]
An optimized crystal structure of Ac2La5Pr2. Source: Alexandria via LeMat-Bulk, functional PBE-GGA.

```
Ac2La5Pr2
1.0
-7.7479 6.2967 3.5275
7.7479 -6.2967 3.5275
7.7479 6.2967 -3.5275
Ac La Pr
4 10 4
Cartesian
0.0000 0.0000 0.0000 Ac
7.7479 0.0000 0.0000 Ac
-3.8739 6.2949 3.3223 Ac
3.8739 6.2986 3.3223 Ac
6.8907 3.2305 -1.1627 La
8.6050 -3.0663 2.3649 La
-2.1985 2.9501 1.1968 La
9.9464 2.9501 1.1968 La
3.8739 3.4367 0.9674 La
0.8571 3.0663 2.3649 La
6.8907 3.0663 2.3649 La
3.8739 2.8600 4.4949 La
2.1985 9.6434 1.1968 La
-2.1985 3.3467 4.7243 La
1.9588 -0.1077 3.4434 Pr
5.7891 -0.1077 3.4434 Pr
1.9588 6.4045 -0.0841 Pr
5.7891 6.4045 -0.0841 Pr
```

## Properties
Size of the total moment, μB/f.u.: 0.00
Formation energy, meV/atom: 142

=====

[2]
An optimized crystal structure of Li2BeNi. Source: Alexandria via LeMat-Bulk, functional PBE-GGA.

```
Li2BeNi
1.0
3.8518 0.0000 0.0000
0.0000 2.6494 0.0000
-0.0521 0.0000 4.2431
Li Be Ni
2 1 1
Cartesian
0.0000 0.0000 0.0000 Li
1.9259 1.3247 0.0000 Li
-0.0260 1.3247 2.1216 Be
1.8998 0.0000 2.1216 Ni
```

## Properties
Size of the total moment, μB/f.u.: 0.00
Formation energy, meV/atom: 5

=====

Question: What is the formula in the first record?
Answer: Ac2La5Pr2